Density functional theory data (PBE) for an optimized crystal structure of TiTe2O2.

Cell lengths 5.0865, 5.0865, 5.0089 Å; angles 59.49, 59.49, 90.00 degrees
Last column: nearest neighbours and their distance in Å.
Positions (direct):
O 0.4039 0.4039 0.1923  1 O 1.34
O 0.5961 0.5961 0.8077  1 O 1.34
Ti 0.0000 0.0000 0.0000  2 O 2.82, 8 Te 3.08
Te 0.7500 0.2500 0.5000  4 O 2.76, 4 Ti 3.08
Te 0.2500 0.7500 0.5000  4 O 2.76, 4 Ti 3.08

Output
- V (Å³ per atom) = 18.04
- magnetization (μB per cell) = 0.00
- formation energy without anion corrections (meV/atom) = 63
- energy relative to the lowest polymorph listed for this composition (meV/atom) = 1064

***

Density functional theory data (PBE) for an optimized crystal structure of ZrTlHg2.

Cell lengths 6.1197, 6.1197, 5.7462 Å; angles 63.71, 63.71, 29.70 degrees
Last column: nearest neighbours and their distance in Å.
Positions (direct):
Hg 0.7448 0.7448 0.8346  5 Hg 3.10-3.28, 4 Zr 3.13-3.42, 3 Tl 3.14-3.39
Hg 0.9854 0.9854 0.9176  5 Hg 3.10-3.28, 3 Zr 3.13-3.37, 4 Tl 3.26-3.31
Zr 0.2573 0.2573 0.3510  7 Hg 3.13-3.42, 2 Zr 3.14, 3 Tl 3.15-3.20
Tl 0.5125 0.5125 0.3968  2 Tl 3.14, 7 Hg 3.14-3.39, 3 Zr 3.15-3.20

Output
- V (Å³ per atom) = 23.69
- magnetization (μB per cell) = 0.00
- energy of formation (eV per atom) = 0.024

***

Density functional theory data (PBE) for an optimized crystal structure of KBe2Cu.

Cell lengths 3.8990, 3.8990, 6.5654 Å; angles 68.06, 68.06, 60.04 degrees
Last column: nearest neighbours and their distance in Å.
Positions (direct):
Be 0.0780 0.0780 0.7634  3 Cu 2.25-2.26, 3 Be 2.25-2.26
Be 0.7504 0.7504 0.7484  3 Cu 2.25, 3 Be 2.25-2.26
Cu 0.4221 0.4221 0.7353  6 Be 2.25-2.26
K 0.2495 0.2495 0.2529  1 Be 3.04, 1 Cu 3.08

Output
- V (Å³ per atom) = 19.50
- magnetization (μB per cell) = 0.00
- energy relative to the lowest polymorph listed for this composition (meV/atom) = 3
- energy of formation (eV per atom) = 0.226

***

Density functional theory data (PBE) for an optimized crystal structure of Cs2KSnH6.

Cell lengths 6.7946, 6.4524, 6.4524 Å; angles 120.00, 90.00, 90.00 degrees
Last column: nearest neighbours and their distance in Å.
Positions (direct):
H 0.1700 0.8597 0.1403  1 Sn 1.95
H 0.8300 0.7194 0.8597  1 Sn 1.95
H 0.8300 0.1403 0.2806  1 Sn 1.95
H 0.8300 0.1403 0.8597  1 Sn 1.95
H 0.1700 0.8597 0.7194  1 Sn 1.95
H 0.1700 0.2806 0.1403  1 Sn 1.95
Cs 0.8409 0.6667 0.3333  9 H 3.11-3.24
Cs 0.1591 0.3333 0.6667  9 H 3.11-3.24
K 0.5000 0.0000 0.0000  6 H 2.74
Sn 0.0000 0.0000 0.0000  6 H 1.95

Output
- V (Å³ per atom) = 24.50
- raw total energy (eV for the cell shown) = -27.234
- magnetization (μB per cell) = 0.00

***

Density functional theory data (PBE) for an optimized crystal structure of LaMnRh2.

Cell lengths 5.4161, 5.4161, 5.4161 Å; angles 136.61, 136.61, 63.03 degrees
Last column: nearest neighbours and their distance in Å.
Positions (direct):
Mn 0.7500 0.2500 0.5000  8 Rh 2.83-3.06, 4 La 3.06
La 0.5000 0.5000 0.0000  8 Rh 2.83-3.06, 4 Mn 3.06
Rh 0.2500 0.7500 0.5000  4 Mn 2.83, 4 La 3.06, 4 Rh 3.06
Rh 0.0000 0.0000 0.0000  4 La 2.83, 4 Rh 3.06, 4 Mn 3.06

Output
- V (Å³ per atom) = 18.50
- magnetization (μB per cell) = 4.68
- energy of formation (eV per atom) = -0.170

***

Density functional theory data (PBE) for an optimized crystal structure of LiCa.

Cell lengths 6.3434, 6.3434, 6.3434 Å; angles 90.00, 90.00, 90.00 degrees
Last column: nearest neighbours and their distance in Å.
Positions (direct):
Ca 0.9123 0.4123 0.9123  7 Li 3.32-3.45
Ca 0.5877 0.5877 0.4123  7 Li 3.32-3.45
Ca 0.4123 0.0877 0.0877  7 Li 3.32-3.45
Ca 0.0877 0.9123 0.5877  7 Li 3.32-3.45
Li 0.0990 0.4010 0.4010  7 Ca 3.32-3.45
Li 0.9010 0.9010 0.0990  7 Ca 3.32-3.45
Li 0.4010 0.5990 0.9010  7 Ca 3.32-3.45
Li 0.5990 0.0990 0.5990  7 Ca 3.32-3.45

Output
- V (Å³ per atom) = 31.91
- magnetization (μB per cell) = 0.00
- energy relative to the lowest polymorph listed for this composition (meV/atom) = 53
- energy of formation (eV per atom) = 0.065